Entry 1:
Computed, not measured: a geometry-optimized PaPdPb structure at the GGA-PBE level of DFT.

Structure (extended XYZ):
```
3
Lattice="4.7694 0.0000 0.0000 2.3847 4.1304 0.0000 2.3847 1.3768 3.8942" Properties=species:S:1:pos:R:3 pbc="T T T"
Pb 4.7694 2.7536 1.9471
Pd 2.3847 1.3768 0.9736
Pa 0.0000 0.0000 0.0000
```

Results
ΔE_f: -0.320 eV per atom
Fermi-level density of states: 1.070 states/eV per atom
SG: No. 216


Entry 2:
Computed, not measured: a geometry-optimized ReB2 structure at the GGA-PBE level of DFT.

Structure (extended XYZ):
```
6
Lattice="-1.9204 -1.8715 -1.1435 1.9896 1.2727 -1.7087 4.7488 -5.6709 1.3058" Properties=species:S:1:pos:R:3 pbc="T T T"
B 1.5310 -3.3886 -0.7412
Re 2.9446 -5.0766 -0.3525
Re 1.8735 -1.1931 -1.1938
B -0.3907 -1.0937 -1.2696
B 3.2870 -2.8811 -0.8051
B 5.2088 -5.1759 -0.2767
```

Results
ΔE_f: -0.424 eV per atom
Fermi-level density of states: 0.282 states/eV per atom
SG: No. 194